Entry 1:
A geometry-optimized Cs2LiNbBr6 structure. Source: OQMD, functional PBE.

abc: 7.724 7.724 7.724
angles: 120.07 120.07 89.87
Fractional coordinates of all 10 atoms:
Br 0.244 0.244 0.000
Br 0.756 0.244 0.000
Br 0.244 0.756 0.000
Br 0.756 0.756 0.000
Br 0.244 0.244 0.488
Br 0.756 0.756 0.512
Cs 0.750 0.250 0.500
Cs 0.250 0.750 0.500
Li 0.500 0.500 0.000
Nb 0.000 0.000 0.000

Entry 2:
A geometry-optimized Cs2LiNiBr6 structure. Source: OQMD, functional PBE.

abc: 7.520 7.520 7.520
angles: 60.00 60.00 60.00
Fractional coordinates of all 10 atoms:
Br 0.764 0.236 0.236
Br 0.236 0.764 0.236
Br 0.764 0.764 0.236
Br 0.236 0.236 0.764
Br 0.764 0.236 0.764
Br 0.236 0.764 0.764
Cs 0.250 0.250 0.250
Cs 0.750 0.750 0.750
Li 0.500 0.500 0.500
Ni 0.000 0.000 0.000

Entry 3:
A geometry-optimized Cs2LiPuBr6 structure. Source: OQMD, functional PBE.

abc: 7.964 7.964 7.964
angles: 120.13 120.13 89.77
Fractional coordinates of all 10 atoms:
Br 0.254 0.254 0.000
Br 0.745 0.255 0.000
Br 0.255 0.745 0.000
Br 0.746 0.746 0.000
Br 0.745 0.745 0.490
Br 0.255 0.255 0.510
Cs 0.750 0.250 0.500
Cs 0.250 0.750 0.500
Li 0.500 0.500 0.000
Pu 0.000 0.000 0.000

Entry 4:
A geometry-optimized CsMo3Br7 structure. Source: OQMD, functional PBE.

abc: 10.186 10.186 15.540
angles: 90.00 90.00 120.00
Fractional coordinates of all 44 atoms:
Br 0.667 0.333 0.044
Br 0.307 0.348 0.090
Br 0.041 0.693 0.090
Br 0.652 0.959 0.090
Br 0.365 0.039 0.179
Br 0.961 0.327 0.179
Br 0.673 0.635 0.179
Br 0.673 0.039 0.321
Br 0.365 0.327 0.321
Br 0.961 0.635 0.321
Br 0.041 0.348 0.410
Br 0.652 0.693 0.410
Br 0.307 0.959 0.410
Br 0.667 0.333 0.456
Br 0.333 0.667 0.544
Br 0.693 0.041 0.590
Br 0.348 0.307 0.590
Br 0.959 0.652 0.590
Br 0.039 0.365 0.679
Br 0.635 0.673 0.679
Br 0.327 0.961 0.679
Br 0.327 0.365 0.821
Br 0.039 0.673 0.821
Br 0.635 0.961 0.821
Br 0.348 0.041 0.910
Br 0.959 0.307 0.910
Br 0.693 0.652 0.910
Br 0.333 0.667 0.956
Cs 0.000 0.000 0.000
Cs 0.333 0.667 0.250
Cs 0.000 0.000 0.500
Cs 0.667 0.333 0.750
Mo 0.665 0.182 0.181
Mo 0.517 0.335 0.181
Mo 0.818 0.483 0.181
Mo 0.517 0.182 0.319
Mo 0.818 0.335 0.319
Mo 0.665 0.483 0.319
Mo 0.335 0.517 0.681
Mo 0.182 0.665 0.681
Mo 0.483 0.818 0.681
Mo 0.182 0.517 0.819
Mo 0.483 0.665 0.819
Mo 0.335 0.818 0.819

Entry 5:
A geometry-optimized Cs2MoPdBr6 structure. Source: OQMD, functional PBE.

abc: 7.653 7.653 7.653
angles: 60.00 60.00 60.00
Fractional coordinates of all 10 atoms:
Br 0.757 0.243 0.243
Br 0.243 0.757 0.243
Br 0.757 0.757 0.243
Br 0.243 0.243 0.757
Br 0.757 0.243 0.757
Br 0.243 0.757 0.757
Cs 0.250 0.250 0.250
Cs 0.750 0.750 0.750
Mo 0.000 0.000 0.000
Pd 0.500 0.500 0.500

Entry 6:
A geometry-optimized Cs2TlMoBr6 structure. Source: OQMD, functional PBE.

abc: 8.130 8.130 8.130
angles: 60.00 60.00 60.00
Fractional coordinates of all 10 atoms:
Br 0.773 0.227 0.227
Br 0.227 0.773 0.227
Br 0.773 0.773 0.227
Br 0.773 0.227 0.773
Br 0.227 0.773 0.773
Br 0.227 0.227 0.773
Cs 0.250 0.250 0.250
Cs 0.750 0.750 0.750
Mo 0.000 0.000 0.000
Tl 0.500 0.500 0.500

Here are the calculated energy numbers, same order: -37.14; -30.13; -44.64; -218.66; -36.62; -36.08 (eV/cell).
Here are the calculated spin magnetization numbers, same order: 2.00; 1.00; 5.00; 0.00; 2.77; 3.00 (μB/f.u.).